{
  "formula": "Na2AcB2S6",
  "functional": "PBE-GGA",
  "state": "optimized geometry",
  "cell": [[6.593, 0.000, 0.000], [-3.297, 5.710, 0.000], [0.000, 0.000, 7.742]],
  "species": ["Na", "Na", "Ac", "B", "B", "S", "S", "S", "S", "S", "S"],
  "frac_coords": [[0.667, 0.333, 0.588], [0.333, 0.667, 0.412], [0.000, 0.000, 0.000], [0.333, 0.667, 0.775], [0.667, 0.333, 0.225], [0.066, 0.386, 0.759], [0.614, 0.680, 0.759], [0.320, 0.934, 0.759], [0.934, 0.614, 0.241], [0.386, 0.320, 0.241], [0.680, 0.066, 0.241]],
  "volume_a3_per_fu": 291.5,
  "n_ef_per_ev_atom": 0.636,
  "total_energy_ev_per_cell": -54.84,
  "raw_formation_energy_ev_per_fu": -9.976,
  "space_group": "P-3"
}